# Hf2CrF | Alexandria | PBE+U | optimized geometry
data_Hf2CrF
_chemical_formula_sum 'Hf8 Cr4 F4'
_cell_length_a 6.658
_cell_length_b 6.658
_cell_length_c 6.658
_cell_angle_alpha 90.00
_cell_angle_beta 90.00
_cell_angle_gamma 90.00
_symmetry_space_group_name_H-M 'F m -3 m'
_symmetry_Int_Tables_number 225
_symmetry_space_group_name_Hall '-F 4 2 3'
loop_
_atom_site_label
_atom_site_type_symbol
_atom_site_fract_x
_atom_site_fract_y
_atom_site_fract_z
Hf1 Hf 0.250 0.250 0.250
Cr1 Cr 0.000 0.000 0.000
F1 F 0.000 0.000 0.500
# E   -0.53679 Ry per atom
# Volume   295.2 Å³ per cell